[1]
NdPuZn | PBE-GGA | relaxed

The structure in POSCAR format:
```
NdPuZn
1.0
0.000 3.470 3.470
3.470 0.000 3.470
3.470 3.470 0.000
Nd Pu Zn
1 1 1
direct
0.000 0.000 0.000
0.250 0.250 0.250
0.500 0.500 0.500
```

Results
final energy: -6.276 eV per atom
E above lowest polymorph: 0.00 eV per formula unit
crystal system: cubic
space-group type: F-43m, No. 216
formation enthalpy at 0 K: 10.20 kcal/mol of atoms

=====

[2]
YCuSnIr | PBE-GGA | relaxed

The structure in POSCAR format:
```
YCuSnIr
1.0
0.000 3.371 3.371
3.371 0.000 3.371
3.371 3.371 0.000
Y Cu Sn Ir
1 1 1 1
direct
0.000 0.000 0.000
0.500 0.500 0.500
0.250 0.250 0.250
0.750 0.750 0.750
```

Results
final energy: -5.883 eV per atom
E above lowest polymorph: 1.27 eV per formula unit
crystal system: cubic
space-group type: F-43m, No. 216

=====

[3]
BaAlCdPt2 | PBE-GGA | relaxed

The structure in POSCAR format:
```
BaAlCdPt2
1.0
-2.232 2.232 5.793
2.232 -2.232 5.793
2.232 2.232 -5.793
Ba Al Cd Pt
1 1 1 2
direct
0.000 0.000 0.000
0.250 0.750 0.500
0.750 0.250 0.500
0.381 0.381 0.000
0.619 0.619 0.000
```

Results
final energy: -4.396 eV per atom
crystal system: tetragonal
space-group type: I-4m2, No. 119

=====

[4]
ZrInFeTc | PBE-GGA | relaxed

The structure in POSCAR format:
```
ZrInFeTc
1.0
0.000 3.280 3.280
3.280 0.000 3.280
3.280 3.280 0.000
Zr In Fe Tc
1 1 1 1
direct
0.000 0.000 0.000
0.250 0.250 0.250
0.500 0.500 0.500
0.750 0.750 0.750
```

Results
final energy: -7.293 eV per atom
E above lowest polymorph: 0.76 eV per formula unit
crystal system: cubic
space-group type: F-43m, No. 216

=====

[5]
HfCoPd | PBE-GGA | relaxed

The structure in POSCAR format:
```
HfCoPd
1.0
0.000 2.960 2.960
2.960 0.000 2.960
2.960 2.960 0.000
Hf Co Pd
1 1 1
direct
0.000 0.000 0.000
0.250 0.250 0.250
0.500 0.500 0.500
```

Results
final energy: -7.531 eV per atom
crystal system: cubic
space-group type: F-43m, No. 216
formation enthalpy at 0 K: -2.74 kcal/mol of atoms

=====

[6]
RbLu2Cu3Se4S | PBE-GGA | relaxed

The structure in POSCAR format:
```
RbLu2Cu3Se4S
1.0
2.020 -7.255 0.000
2.020 7.255 0.000
0.000 0.000 16.629
Rb Lu Cu Se S
2 4 6 8 2
direct
0.067 0.933 0.750
0.933 0.067 0.250
0.192 0.808 0.096
0.192 0.808 0.404
0.808 0.192 0.596
0.808 0.192 0.904
0.339 0.661 0.750
0.416 0.584 0.030
0.416 0.584 0.470
0.584 0.416 0.530
0.584 0.416 0.970
0.661 0.339 0.250
0.170 0.830 0.571
0.170 0.830 0.929
0.440 0.560 0.618
0.440 0.560 0.882
0.560 0.440 0.118
0.560 0.440 0.382
0.830 0.170 0.071
0.830 0.170 0.429
0.238 0.762 0.250
0.762 0.238 0.750
```

Results
final energy: -4.703 eV per atom
crystal system: orthorhombic
space-group type: Cmcm, No. 63

=====

[7]
HoTmNi2 | PBE-GGA | relaxed

The structure in POSCAR format:
```
HoTmNi2
1.0
4.141 0.000 0.000
0.000 5.378 0.000
0.000 0.000 6.989
Ho Tm Ni
2 2 4
direct
0.000 0.120 0.000
0.000 0.880 0.500
0.500 0.381 0.360
0.500 0.619 0.860
0.000 0.375 0.642
0.000 0.625 0.142
0.500 0.125 0.717
0.500 0.875 0.217
```

Results
final energy: -5.539 eV per atom
crystal system: orthorhombic
space-group type: Pmc2_1, No. 26
formation enthalpy at 0 K: -11.35 kcal/mol of atoms

=====

[8]
Hf3CuC | PBE-GGA | relaxed

The structure in POSCAR format:
```
Hf3CuC
1.0
1.662 -5.631 0.000
1.662 5.631 0.000
0.000 0.000 8.842
Hf Cu C
6 2 2
direct
0.058 0.942 0.750
0.371 0.629 0.557
0.371 0.629 0.943
0.629 0.371 0.057
0.629 0.371 0.443
0.942 0.058 0.250
0.250 0.750 0.250
0.750 0.250 0.750
0.000 0.000 0.000
0.000 0.000 0.500
```

Results
final energy: -9.058 eV per atom
E above lowest polymorph: 0.00 eV per formula unit
crystal system: orthorhombic
space-group type: Cmcm, No. 63

=====

[9]
PrNbIn | PBE-GGA | relaxed

The structure in POSCAR format:
```
PrNbIn
1.0
0.000 3.610 3.610
3.610 0.000 3.610
3.610 3.610 0.000
Pr Nb In
1 1 1
direct
0.000 0.000 0.000
0.750 0.750 0.750
0.250 0.250 0.250
```

Results
final energy: -4.875 eV per atom
E above lowest polymorph: 1.25 eV per formula unit
crystal system: cubic
space-group type: F-43m, No. 216

=====

[10]
HoAlGaNi | PBE-GGA | relaxed

The structure in POSCAR format:
```
HoAlGaNi
1.0
5.054 -2.037 0.000
5.054 2.037 0.000
-0.090 0.000 6.786
Ho Al Ga Ni
2 2 2 2
direct
0.066 0.066 0.253
0.934 0.934 0.747
0.345 0.345 0.055
0.655 0.655 0.945
0.354 0.354 0.447
0.646 0.646 0.553
0.214 0.214 0.748
0.786 0.786 0.252
```

Results
final energy: -4.885 eV per atom
E above lowest polymorph: 0.00 eV per formula unit
crystal system: monoclinic
space-group type: C2/m, No. 12

=====

[11]
SrCuReOs | PBE-GGA | relaxed

The structure in POSCAR format:
```
SrCuReOs
1.0
0.000 3.253 3.253
3.253 0.000 3.253
3.253 3.253 0.000
Sr Cu Re Os
1 1 1 1
direct
0.000 0.000 0.000
0.500 0.500 0.500
0.750 0.750 0.750
0.250 0.250 0.250
```

Results
final energy: -5.675 eV per atom
E above lowest polymorph: 2.78 eV per formula unit
crystal system: cubic
space-group type: F-43m, No. 216

=====

[12]
PrHS2 | PBE-GGA | relaxed

The structure in POSCAR format:
```
PrHS2
1.0
7.035 0.000 0.000
0.000 7.038 0.000
-1.464 0.000 7.003
Pr H S
4 4 8
direct
0.181 0.049 0.292
0.181 0.451 0.792
0.819 0.549 0.208
0.819 0.951 0.708
0.465 0.705 0.403
0.465 0.795 0.903
0.535 0.205 0.097
0.535 0.295 0.597
0.070 0.744 0.514
0.070 0.756 0.014
0.435 0.158 0.670
0.435 0.342 0.170
0.565 0.658 0.830
0.565 0.842 0.330
0.930 0.244 0.986
0.930 0.256 0.486
```

Results
final energy: -5.445 eV per atom
crystal system: monoclinic
space-group type: P2_1/c, No. 14